# 1
# CrNi

A PBEsol-optimized structure of CrNi (SCAN, Alexandria).

CIF file:
```
data_CrNi
_symmetry_space_group_name_H-M 'P 1'
_symmetry_Int_Tables_number 1
_cell_length_a 2.398
_cell_length_b 4.783
_cell_length_c 5.940
_cell_angle_alpha 103.76
_cell_angle_beta 90.00
_cell_angle_gamma 104.52
loop_
_symmetry_equiv_pos_as_xyz
'x,y,z'
loop_
_atom_site_label
_atom_site_fract_x
_atom_site_fract_y
_atom_site_fract_z
Cr1 0.004 0.007 0.995
Cr2 0.389 0.778 0.284
Cr3 0.328 0.656 0.662
Ni1 0.665 0.330 0.330
Ni2 0.056 0.112 0.612
Ni3 0.725 0.451 0.950
```

The density of states at the Fermi level is 4.67 states/eV per cell. The total energy comes out at -17.17 eV/atom. The calculated formation energy comes out at 0.1108 eV per atom.

=====

# 2
# ReAgHg

A PBEsol-optimized structure of ReAgHg (SCAN, Alexandria).

CIF file:
```
data_ReAgHg
_symmetry_space_group_name_H-M 'P 1'
_symmetry_Int_Tables_number 1
_cell_length_a 2.749
_cell_length_b 2.749
_cell_length_c 6.918
_cell_angle_alpha 101.46
_cell_angle_beta 101.46
_cell_angle_gamma 90.00
loop_
_symmetry_equiv_pos_as_xyz
'x,y,z'
loop_
_atom_site_label
_atom_site_fract_x
_atom_site_fract_y
_atom_site_fract_z
Re1 0.337 0.337 0.674
Hg1 0.668 0.668 0.336
Ag1 0.995 0.995 0.990
```

The density of states at the Fermi level is 1.11 states/eV per cell. The total energy comes out at -56.14 eV/atom. The calculated formation energy comes out at 0.7368 eV per atom.

=====

# 3
# KH8O4F

A PBEsol-optimized structure of KH8O4F (SCAN, Alexandria).

CIF file:
```
data_KH8O4F
_symmetry_space_group_name_H-M 'P 1'
_symmetry_Int_Tables_number 1
_cell_length_a 6.556
_cell_length_b 6.692
_cell_length_c 13.050
_cell_angle_alpha 90.00
_cell_angle_beta 90.00
_cell_angle_gamma 90.26
loop_
_symmetry_equiv_pos_as_xyz
'x,y,z'
loop_
_atom_site_label
_atom_site_fract_x
_atom_site_fract_y
_atom_site_fract_z
K1 0.003 0.330 0.371
K2 0.497 0.670 0.871
K3 0.997 0.670 0.629
K4 0.503 0.330 0.129
H1 0.982 0.358 0.130
H2 0.518 0.642 0.630
H3 0.018 0.642 0.870
H4 0.482 0.358 0.370
H5 0.437 0.583 0.339
H6 0.063 0.417 0.839
H7 0.563 0.417 0.661
H8 0.937 0.583 0.161
H9 0.267 0.903 0.332
H10 0.233 0.097 0.832
H11 0.733 0.097 0.668
H12 0.767 0.903 0.168
H13 0.094 0.896 0.246
H14 0.406 0.104 0.746
H15 0.906 0.104 0.754
H16 0.594 0.896 0.254
H17 0.973 0.800 0.390
H18 0.527 0.200 0.890
H19 0.027 0.200 0.610
H20 0.473 0.800 0.110
H21 0.243 0.745 0.090
H22 0.257 0.255 0.590
H23 0.757 0.255 0.910
H24 0.743 0.745 0.410
H25 0.416 0.806 0.491
H26 0.084 0.194 0.991
H27 0.584 0.194 0.509
H28 0.916 0.806 0.009
H29 0.081 0.059 0.090
H30 0.419 0.941 0.590
H31 0.919 0.941 0.910
H32 0.581 0.059 0.410
O1 0.394 0.444 0.325
O2 0.106 0.556 0.825
O3 0.606 0.556 0.675
O4 0.894 0.444 0.175
O5 0.125 0.945 0.317
O6 0.375 0.055 0.817
O7 0.875 0.055 0.683
O8 0.625 0.945 0.183
O9 0.383 0.706 0.071
O10 0.117 0.294 0.571
O11 0.617 0.294 0.929
O12 0.883 0.706 0.429
O13 0.123 0.193 0.065
O14 0.377 0.807 0.565
O15 0.877 0.807 0.935
O16 0.623 0.193 0.435
F1 0.501 0.834 0.369
F2 0.999 0.166 0.869
F3 0.499 0.166 0.631
F4 0.001 0.834 0.131
```

The density of states at the Fermi level is 0.00 states/eV per cell. The total energy comes out at -5.92 eV/atom.

=====

# 4
# Na3In2Au

A PBEsol-optimized structure of Na3In2Au (SCAN, Alexandria).

CIF file:
```
data_Na3In2Au
_symmetry_space_group_name_H-M 'P 1'
_symmetry_Int_Tables_number 1
_cell_length_a 9.461
_cell_length_b 9.461
_cell_length_c 9.461
_cell_angle_alpha 60.00
_cell_angle_beta 60.00
_cell_angle_gamma 60.00
loop_
_symmetry_equiv_pos_as_xyz
'x,y,z'
loop_
_atom_site_label
_atom_site_fract_x
_atom_site_fract_y
_atom_site_fract_z
Na1 0.952 0.548 0.548
Na2 0.702 0.298 0.702
Na3 0.548 0.548 0.952
Na4 0.702 0.702 0.298
Na5 0.702 0.298 0.298
Na6 0.548 0.952 0.952
Na7 0.952 0.952 0.548
Na8 0.298 0.298 0.702
Na9 0.548 0.952 0.548
Na10 0.298 0.702 0.702
Na11 0.952 0.548 0.952
Na12 0.298 0.702 0.298
In1 0.251 0.916 0.916
In2 0.916 0.916 0.916
In3 0.999 0.334 0.334
In4 0.916 0.251 0.916
In5 0.334 0.999 0.334
In6 0.916 0.916 0.251
In7 0.334 0.334 0.999
In8 0.334 0.334 0.334
Au1 0.125 0.625 0.125
Au2 0.125 0.125 0.625
Au3 0.125 0.125 0.125
Au4 0.625 0.125 0.125
```

The density of states at the Fermi level is 9.23 states/eV per cell. The total energy comes out at -25.09 eV/atom. The calculated formation energy comes out at -0.3324 eV per atom.

=====

- Which of these has the lowest total energy?
  ReAgHg